Entry 1:
A geometry-optimized Th6Co3S2Cl structure. Source: the Alexandria database, functional PBE.

Cell lengths 4.1876, 8.4837, 9.1072 Å; angles 108.90, 103.29, 90.00 degrees
With the nearest neighbours (Å) after each atom.
Atoms (fractional coordinates):
1 Th 0.6819 0.0719 0.3638  1 Co 2.55
2 Th 0.6561 0.5927 0.3122  3 Co 2.61-2.88
3 Th 0.9882 0.2735 0.9764  3 Co 2.57-2.80
4 Co 0.8342 0.1685 0.6684  2 Th 2.55-2.57
5 Th 0.3439 0.4073 0.6878  3 Co 2.61-2.88
6 Cl 0.5000 0.0000 0.0000  6 Th 3.08-3.18
7 Co 0.5000 0.5000 0.0000  6 Th 2.61-2.80
8 S 0.1647 0.3290 0.3294  6 Th 3.01-3.11
9 Th 0.0118 0.7265 0.0236  3 Co 2.57-2.80
10 Th 0.3181 0.9281 0.6362  1 Co 2.55
11 S 0.8353 0.6710 0.6706  6 Th 3.01-3.11
12 Co 0.1658 0.8315 0.3316  2 Th 2.55-2.57

- ΔE_f (raw) (eV/f.u.) = -11.21
- electronic total energy (eV per cell) = -87.15
- symmetry = No. 12

***

Entry 2:
A geometry-optimized Th4CoS2Cl structure. Source: the Alexandria database, functional PBE.

Cell lengths 3.9628, 7.1708, 7.0970 Å; angles 70.79, 90.00, 90.00 degrees
With the nearest neighbours (Å) after each atom.
Atoms (fractional coordinates):
1 Cl 0.0000 0.5000 0.5000  6 Th 2.91-2.95
2 S 0.0000 0.0000 0.0000  6 Th 2.82-2.87
3 S 0.5000 0.0000 0.5000  6 Th 2.95-2.98
4 Th 0.5000 0.7547 0.2387  3 S 2.82-2.95, 1 Co 2.87, 2 Cl 2.91
5 Th 0.0000 0.2665 0.2263  2 Co 2.75, 3 S 2.87-2.98, 1 Cl 2.95
6 Co 0.5000 0.5000 0.0000  6 Th 2.75-2.87
7 Th 0.5000 0.2453 0.7613  3 S 2.82-2.95, 1 Co 2.87, 2 Cl 2.91
8 Th 0.0000 0.7335 0.7737  2 Co 2.75, 3 S 2.87-2.98, 1 Cl 2.95

- ΔE_f (raw) (eV/f.u.) = -9.96
- electronic total energy (eV per cell) = -56.84
- symmetry = No. 10

***

Entry 3:
A geometry-optimized TlCoS2Cl structure. Source: the Alexandria database, functional PBE.

Cell lengths 5.1313, 5.1313, 5.1947 Å; angles 90.00, 90.00, 90.00 degrees
With the nearest neighbours (Å) after each atom.
Atoms (fractional coordinates):
1 Tl 0.0000 0.0000 0.0000  4 S 2.57, 2 Cl 2.60
2 Cl 0.0000 0.0000 0.5000  2 Tl 2.60
3 Co 0.5000 0.5000 0.5000  4 Cl 3.63, 8 S 3.65
4 S 0.0000 0.5000 0.0000  2 Tl 2.57
5 S 0.5000 0.0000 0.0000  2 Tl 2.57

- ΔE_f (raw) (eV/f.u.) = 4.60
- electronic total energy (eV per cell) = -14.98
- symmetry = No. 123

***

Entry 4:
A geometry-optimized TlCoS2Cl structure. Source: the Alexandria database, functional PBE.

Cell lengths 4.4531, 4.4531, 5.5711 Å; angles 90.00, 90.00, 90.00 degrees
With the nearest neighbours (Å) after each atom.
Atoms (fractional coordinates):
1 S 0.5000 0.0000 0.0000  2 Co 2.23
2 Tl 0.5000 0.5000 0.5000  4 Cl 3.15
3 Cl 0.0000 0.0000 0.5000  2 Co 2.79
4 Co 0.0000 0.0000 0.0000  4 S 2.23
5 S 0.0000 0.5000 0.0000  2 Co 2.23

- ΔE_f (raw) (eV/f.u.) = -0.59
- electronic total energy (eV per cell) = -20.16
- symmetry = No. 123

***

Entry 5:
A geometry-optimized VCoSCl2 structure. Source: the Alexandria database, functional PBE.

Cell lengths 4.7031, 4.7031, 4.6130 Å; angles 90.00, 90.00, 90.00 degrees
With the nearest neighbours (Å) after each atom.
Atoms (fractional coordinates):
1 Cl 0.5000 0.0000 0.0000  2 V 2.35
2 S 0.0000 0.0000 0.5000  2 V 2.31
3 Co 0.5000 0.5000 0.5000  8 Cl 3.29, 4 S 3.33
4 Cl 0.0000 0.5000 0.0000  2 V 2.35
5 V 0.0000 0.0000 0.0000  2 S 2.31, 4 Cl 2.35

- ΔE_f (raw) (eV/f.u.) = 0.82
- electronic total energy (eV per cell) = -23.22
- symmetry = No. 123

***

Entry 6:
A geometry-optimized VCoSCl2 structure. Source: the Alexandria database, functional PBE.

Cell lengths 4.4678, 4.4678, 4.6131 Å; angles 90.00, 90.00, 90.00 degrees
With the nearest neighbours (Å) after each atom.
Atoms (fractional coordinates):
1 V 0.5000 0.5000 0.5000  4 S 3.16, 8 Cl 3.21
2 Cl 0.5000 0.0000 0.0000  2 Co 2.23
3 S 0.0000 0.0000 0.5000  2 Co 2.31
4 Co 0.0000 0.0000 0.0000  4 Cl 2.23, 2 S 2.31
5 Cl 0.0000 0.5000 0.0000  2 Co 2.23

- ΔE_f (raw) (eV/f.u.) = 1.96
- electronic total energy (eV per cell) = -22.09
- symmetry = No. 123

***

Entry 7:
A geometry-optimized CoWSCl2 structure. Source: the Alexandria database, functional PBE.

Cell lengths 4.8681, 4.8681, 4.6389 Å; angles 90.00, 90.00, 90.00 degrees
With the nearest neighbours (Å) after each atom.
Atoms (fractional coordinates):
1 Cl 0.5000 0.0000 0.0000  2 W 2.43
2 W 0.0000 0.0000 0.0000  2 S 2.32, 4 Cl 2.43
3 Co 0.5000 0.5000 0.5000  8 Cl 3.36, 4 S 3.44
4 Cl 0.0000 0.5000 0.0000  2 W 2.43
5 S 0.0000 0.0000 0.5000  2 W 2.32

- ΔE_f (raw) (eV/f.u.) = 3.21
- electronic total energy (eV per cell) = -24.67
- symmetry = No. 123

***

Entry 8:
A geometry-optimized CoWSCl2 structure. Source: the Alexandria database, functional PBE.

Cell lengths 4.3989, 4.3989, 4.7885 Å; angles 90.00, 90.00, 90.00 degrees
With the nearest neighbours (Å) after each atom.
Atoms (fractional coordinates):
1 S 0.0000 0.0000 0.5000  2 Co 2.39
2 Co 0.0000 0.0000 0.0000  4 Cl 2.20, 2 S 2.39
3 Cl 0.5000 0.0000 0.0000  2 Co 2.20
4 W 0.5000 0.5000 0.5000  4 S 3.11, 8 Cl 3.25
5 Cl 0.0000 0.5000 0.0000  2 Co 2.20

- ΔE_f (raw) (eV/f.u.) = 4.45
- electronic total energy (eV per cell) = -23.43
- symmetry = No. 123

***

Entry 9:
A geometry-optimized YCoS2Cl structure. Source: the Alexandria database, functional PBE.

Cell lengths 5.2728, 5.2728, 5.1038 Å; angles 90.00, 90.00, 90.00 degrees
With the nearest neighbours (Å) after each atom.
Atoms (fractional coordinates):
1 Co 0.5000 0.5000 0.5000  8 S 3.67, 4 Cl 3.73
2 Y 0.0000 0.0000 0.0000  2 Cl 2.55, 4 S 2.64
3 S 0.5000 0.0000 0.0000  2 Y 2.64
4 S 0.0000 0.5000 0.0000  2 Y 2.64
5 Cl 0.0000 0.0000 0.5000  2 Y 2.55

- ΔE_f (raw) (eV/f.u.) = -1.05
- electronic total energy (eV per cell) = -24.73
- symmetry = No. 123

***

Entry 10:
A geometry-optimized YCoS2Cl structure. Source: the Alexandria database, functional PBE.

Cell lengths 4.5734, 4.5734, 4.3627 Å; angles 90.00, 90.00, 90.00 degrees
With the nearest neighbours (Å) after each atom.
Atoms (fractional coordinates):
1 Cl 0.0000 0.0000 0.5000  2 Co 2.18
2 Co 0.0000 0.0000 0.0000  2 Cl 2.18, 4 S 2.29
3 S 0.5000 0.0000 0.0000  2 Co 2.29
4 Y 0.5000 0.5000 0.5000  8 S 3.16, 4 Cl 3.23
5 S 0.0000 0.5000 0.0000  2 Co 2.29

- ΔE_f (raw) (eV/f.u.) = -4.08
- electronic total energy (eV per cell) = -27.75
- symmetry = No. 123

***

Entry 11:
A geometry-optimized ZnCo2SCl structure. Source: the Alexandria database, functional PBE.

Cell lengths 4.2182, 5.0051, 4.2182 Å; angles 90.00, 90.00, 90.00 degrees
With the nearest neighbours (Å) after each atom.
Atoms (fractional coordinates):
1 Co 0.5000 0.0000 0.0000  2 S 2.11
2 Zn 0.0000 0.5000 0.0000  2 S 2.50
3 S 0.0000 0.0000 0.0000  4 Co 2.11
4 Cl 0.5000 0.5000 0.5000  4 Zn 2.98, 8 Co 3.27
5 Co 0.0000 0.0000 0.5000  2 S 2.11

- ΔE_f (raw) (eV/f.u.) = 1.39
- electronic total energy (eV per cell) = -20.07
- symmetry = No. 123

***

Entry 12:
A geometry-optimized ZrCoSCl2 structure. Source: the Alexandria database, functional PBE.

Cell lengths 4.4130, 4.4130, 4.5777 Å; angles 90.00, 90.00, 90.00 degrees
With the nearest neighbours (Å) after each atom.
Atoms (fractional coordinates):
1 Cl 0.5000 0.0000 0.0000  2 Co 2.21
2 Co 0.0000 0.0000 0.0000  4 Cl 2.21, 2 S 2.29
3 Cl 0.0000 0.5000 0.0000  2 Co 2.21
4 Zr 0.5000 0.5000 0.5000  4 S 3.12, 8 Cl 3.18
5 S 0.0000 0.0000 0.5000  2 Co 2.29

- ΔE_f (raw) (eV/f.u.) = -0.65
- electronic total energy (eV per cell) = -24.12
- symmetry = No. 123